(1)
Density functional theory data (GGA-PBEsol) for a relaxed LiZn2Re crystal.

- Size of the total moment: 0.00 μB/f.u.
- Electronic total energy: -4.327 eV per atom
- Relative energy among the computed polymorphs: 0.219 eV per atom
- ΔH_f (0 K): 0.29 eV/atom

Lattice parameters (Å, degrees): 5.0624 5.0624 5.0624 149.14 128.43 61.32
Last column: nearest neighbours and their distance in Å.
Fractional positions:
Li (0.0000, 0.0000, 0.0000)  4 Zn 2.45, 4 Re 2.58, 2 Li 2.69
Zn (0.2346, 0.7346, 0.5000)  2 Li 2.45, 6 Zn 2.60-2.69, 2 Re 2.68
Zn (0.7654, 0.2654, 0.5000)  2 Li 2.45, 6 Zn 2.60-2.69, 2 Re 2.68
Re (0.5000, 0.5000, 0.0000)  4 Li 2.58, 4 Zn 2.68, 2 Re 2.69

=====

(2)
Density functional theory data (GGA-PBEsol) for a relaxed TaMo2AsPb crystal.

- Size of the total moment: 1.54 μB/f.u.
- Electronic total energy: -7.241 eV per atom
- ΔH_f (0 K): 1.80 eV/atom

Lattice parameters (Å, degrees): 4.7621 4.7621 5.3004 90.00 90.00 90.00
Last column: nearest neighbours and their distance in Å.
Fractional positions:
Ta (0.0000, 0.0000, 0.0000)  4 Mo 2.38, 2 Pb 2.65
Mo (0.0000, 0.5000, 0.0000)  2 Ta 2.38
Mo (0.5000, 0.0000, 0.0000)  2 Ta 2.38
As (0.5000, 0.5000, 0.5000)  4 Pb 3.37, 8 Mo 3.56
Pb (0.0000, 0.0000, 0.5000)  2 Ta 2.65

=====

(3)
Density functional theory data (GGA-PBEsol) for a relaxed V11FeB8 crystal.

- Size of the total moment: 1.36 μB/f.u.
- Electronic total energy: -9.317 eV per atom
- ΔH_f (0 K): -0.76 eV/atom

Lattice parameters (Å, degrees): 5.6368 2.9819 11.2587 90.00 90.04 90.00
Last column: nearest neighbours and their distance in Å.
Fractional positions:
V (0.0000, 0.0000, 0.0000)  4 B 2.28-2.30
V (0.1775, 0.5000, 0.3411)  6 B 2.23-2.24
V (0.1781, 0.5000, 0.8376)  6 B 2.24-2.26
V (0.3217, 0.5000, 0.0897)  6 B 2.25
V (0.3217, 0.5000, 0.5878)  6 B 2.23-2.25
V (0.5002, 0.0000, 0.2514)  4 B 2.27-2.29
V (0.4998, 0.0000, 0.7486)  4 B 2.27-2.29
V (0.6783, 0.5000, 0.4122)  6 B 2.23-2.25
V (0.6783, 0.5000, 0.9103)  6 B 2.25
V (0.8219, 0.5000, 0.1624)  6 B 2.24-2.26
V (0.8225, 0.5000, 0.6589)  6 B 2.23-2.24
Fe (0.0000, 0.0000, 0.5000)  4 B 2.23-2.27
B (0.1105, 0.0000, 0.6906)  1 B 1.79
B (0.1119, 0.0000, 0.1961)  1 B 1.79
B (0.3867, 0.0000, 0.4447)  1 B 1.78
B (0.3882, 0.0000, 0.9439)  1 B 1.78
B (0.6118, 0.0000, 0.0561)  1 B 1.78
B (0.6133, 0.0000, 0.5553)  1 B 1.78
B (0.8881, 0.0000, 0.8039)  1 B 1.79
B (0.8895, 0.0000, 0.3094)  1 B 1.79

=====

(4)
Density functional theory data (GGA-PBEsol) for a relaxed TcHgOs2Br crystal.

- Size of the total moment: 8.64 μB/f.u.
- Formation energy from raw total energies: 3.297 eV/atom
- Electronic total energy: -4.330 eV per atom

Lattice parameters (Å, degrees): 4.9942 4.9942 5.0706 90.00 90.00 90.00
Last column: nearest neighbours and their distance in Å.
Fractional positions:
Tc (0.0000, 0.0000, 0.0000)  4 Br 3.53, 8 Os 3.56
Hg (0.5000, 0.5000, 0.5000)  4 Os 2.50, 2 Br 2.54
Os (0.0000, 0.5000, 0.5000)  2 Hg 2.50
Os (0.5000, 0.0000, 0.5000)  2 Hg 2.50
Br (0.5000, 0.5000, 0.0000)  2 Hg 2.54

=====

Which of these has the lowest size of the total moment?
LiZn2Re

=====

What is the size of the total moment in the third record?
1.36 μB/f.u.

=====

Look up the size of the total moment of the fourth one.
8.64 μB/f.u.

=====

Which value of size of the total moment does entry 1 give?
0.00 μB/f.u.